# Mn2FeGeO6

A relaxed structure of Mn2FeGeO6 (GGA+U, Alexandria).

a b c (Å): 5.0517 5.0728 5.4075
angles (deg): 62.42 62.79 59.64
Last column: magnetic moment on the atom in μB.
Atoms (fractional coordinates):
Mn1 0.0153 0.0122 0.9614  2.06
Mn2 0.5167 0.5173 0.4520  2.07
O1 0.6024 0.2335 0.2374  0.00
O2 0.3904 0.7147 0.7612  -0.02
O3 0.9284 0.6007 0.2317  -0.01
O4 0.1326 0.3936 0.7572  -0.02
O5 0.7118 0.1381 0.7575  -0.02
O6 0.2372 0.9318 0.2326  -0.01
Fe1 0.8125 0.8028 0.5752  3.76
Ge1 0.3144 0.3169 0.0490  0.02

Summary:
For the magnetization, the calculation gives 8.00 μB/f.u. The energy comes out at -6.800 eV per atom. Its space group is P1, No. 1.